VASP calculation (PBE-GGA) on a relaxed Eu2CuGe2O8 crystal.

Calculated values
ΔE_f (raw) = -1.983 eV per atom
VASP energy = -7.64 eV per atom
DOS(E_F) = 53.13 states/eV per cell
SG = Cm, No. 8

Cell lengths 9.110, 9.110, 5.238 Å; angles 75.21, 75.21, 113.38 degrees
Each line ends with the local moment (μB).
Element x y z (fractional)
O 0.655 0.993 0.075  0.01
O 0.149 0.511 0.248  -0.01
O 0.783 0.973 0.508  -0.01
O 0.498 0.498 0.039  0.04
O 0.710 0.220 0.573  0.00
O 0.675 0.675 0.347  0.04
O 0.973 0.783 0.508  -0.01
O 0.000 0.000 0.965  0.04
O 0.511 0.149 0.248  -0.01
O 0.899 0.369 0.943  0.02
O 0.369 0.899 0.943  0.02
O 0.220 0.710 0.573  0.00
O 0.428 0.241 0.780  0.01
O 0.993 0.655 0.075  0.01
O 0.179 0.179 0.342  0.04
O 0.241 0.428 0.780  0.01
Cu 0.079 0.667 0.355  -0.14
Cu 0.667 0.079 0.355  -0.14
Ge 0.524 0.099 0.924  0.00
Ge 0.333 0.333 0.995  0.00
Ge 0.856 0.856 0.325  -0.01
Ge 0.099 0.524 0.924  0.00
Eu 0.200 0.958 0.665  -6.39
Eu 0.688 0.447 0.231  -6.42
Eu 0.958 0.200 0.665  -6.39
Eu 0.447 0.688 0.231  -6.42

VASP calculation (PBE-GGA) on a relaxed Eu2CuGe4O12 crystal.

Calculated values
ΔE_f (raw) = -1.843 eV per atom
VASP energy = -7.24 eV per atom
DOS(E_F) = 27.46 states/eV per cell
SG = P-1, No. 2

Cell lengths 4.908, 7.432, 8.284 Å; angles 113.47, 85.94, 104.60 degrees
Each line ends with the local moment (μB).
Element x y z (fractional)
O 0.249 0.002 0.812  0.01
O 0.232 0.930 0.378  -0.03
O 0.750 0.315 0.992  0.00
O 0.772 0.417 0.381  -0.04
O 0.755 0.779 0.821  0.01
O 0.430 0.352 0.724  0.00
O 0.245 0.221 0.179  0.01
O 0.768 0.070 0.622  -0.03
O 0.570 0.648 0.276  0.00
O 0.228 0.583 0.619  -0.04
O 0.751 0.998 0.188  0.01
O 0.250 0.685 0.008  0.00
Ge 0.549 0.180 0.789  0.01
Ge 0.583 0.385 0.197  0.01
Ge 0.451 0.820 0.211  0.01
Ge 0.417 0.615 0.803  0.01
Eu 0.047 0.231 0.451  6.34
Eu 0.953 0.769 0.549  6.34
Cu 0.000 0.000 0.000  0.28

VASP calculation (PBE-GGA) on a relaxed PrEuCuGe crystal.

Calculated values
Formation energy = -1.71 eV/f.u.
VASP energy = -6.37 eV per atom
DOS(E_F) = 8.89 states/eV per cell
SG = F-43m, No. 216

Cell lengths 5.197, 5.197, 5.197 Å; angles 60.00, 60.00, 60.00 degrees
Each line ends with the local moment (μB).
Element x y z (fractional)
Eu 0.000 0.000 0.000  6.83
Cu 0.750 0.750 0.750  0.01
Pr 0.500 0.500 0.500  0.08
Ge 0.250 0.250 0.250  -0.03

VASP calculation (PBE-GGA) on a relaxed SrEuCuGe crystal.

Calculated values
Formation energy = -1.22 eV/f.u.
VASP energy = -5.47 eV per atom
DOS(E_F) = 10.77 states/eV per cell
SG = F-43m, No. 216

Cell lengths 5.292, 5.292, 5.292 Å; angles 60.00, 60.00, 60.00 degrees
Each line ends with the local moment (μB).
Element x y z (fractional)
Ge 0.250 0.250 0.250  -0.06
Sr 0.500 0.500 0.500  -0.01
Cu 0.750 0.750 0.750  -0.01
Eu 0.000 0.000 0.000  6.77

VASP calculation (PBE-GGA) on a relaxed EuThCuGe crystal.

Calculated values
Formation energy = -1.26 eV/f.u.
VASP energy = -6.92 eV per atom
DOS(E_F) = 2.63 states/eV per cell
SG = F-43m, No. 216

Cell lengths 5.153, 5.153, 5.153 Å; angles 60.00, 60.00, 60.00 degrees
Each line ends with the local moment (μB).
Element x y z (fractional)
Th 0.250 0.250 0.250  0.30
Cu 0.000 0.000 0.000  0.04
Eu 0.750 0.750 0.750  6.88
Ge 0.500 0.500 0.500  -0.05

VASP calculation (PBE-GGA) on a relaxed EuYCuGe crystal.

Calculated values
Formation energy = -1.81 eV/f.u.
VASP energy = -6.82 eV per atom
DOS(E_F) = 6.33 states/eV per cell
SG = F-43m, No. 216

Cell lengths 5.086, 5.086, 5.086 Å; angles 60.00, 60.00, 60.00 degrees
Each line ends with the local moment (μB).
Element x y z (fractional)
Cu 0.750 0.750 0.750  0.01
Ge 0.250 0.250 0.250  -0.03
Y 0.500 0.500 0.500  0.09
Eu 0.000 0.000 0.000  6.82

VASP calculation (PBE-GGA) on a relaxed EuCuH3 crystal.

Calculated values
VASP energy = -5.24 eV per atom
DOS(E_F) = 8.36 states/eV per cell
SG = Pm-3m, No. 221

Cell lengths 3.695, 3.695, 3.695 Å; angles 90.00, 90.00, 90.00 degrees
Each line ends with the local moment (μB).
Element x y z (fractional)
Eu 0.500 0.500 0.500  6.86
Cu 0.000 0.000 0.000  -0.01
H 0.000 0.500 0.000  -0.01
H 0.500 0.000 0.000  -0.01
H 0.000 0.000 0.500  -0.01

VASP calculation (PBE-GGA) on a relaxed EuCuH crystal.

Calculated values
VASP energy = -5.94 eV per atom
DOS(E_F) = 11.21 states/eV per cell
SG = I4/mmm, No. 139

Cell lengths 3.340, 3.340, 9.898 Å; angles 99.71, 99.71, 90.00 degrees
Each line ends with the local moment (μB).
Element x y z (fractional)
Cu 0.062 0.062 0.125  -0.03
Cu 0.938 0.938 0.875  -0.03
Eu 0.666 0.666 0.332  6.84
Eu 0.334 0.334 0.668  6.84
H 0.793 0.793 0.585  -0.02
H 0.207 0.207 0.415  -0.02

VASP calculation (PBE-GGA) on a relaxed EuHfCu2 crystal.

Calculated values
Formation energy = -0.29 eV/f.u.
VASP energy = -7.18 eV per atom
DOS(E_F) = 6.19 states/eV per cell
SG = P4/mmm, No. 123

Cell lengths 3.369, 3.369, 7.070 Å; angles 90.00, 90.00, 90.00 degrees
Each line ends with the local moment (μB).
Element x y z (fractional)
Cu 0.000 0.000 0.194  -0.01
Cu 0.000 0.000 0.806  -0.01
Hf 0.500 0.500 0.000  -0.03
Eu 0.500 0.500 0.500  6.84

VASP calculation (PBE-GGA) on a relaxed EuHfCu4 crystal.

Calculated values
Formation energy = 0.24 eV/f.u.
VASP energy = -6.06 eV per atom
DOS(E_F) = 4.40 states/eV per cell
SG = F-43m, No. 216

Cell lengths 5.186, 5.186, 5.186 Å; angles 60.00, 60.00, 60.00 degrees
Each line ends with the local moment (μB).
Element x y z (fractional)
Cu 0.626 0.626 0.121  0.00
Cu 0.626 0.626 0.626  0.00
Cu 0.626 0.121 0.626  0.00
Cu 0.121 0.626 0.626  0.00
Hf 0.000 0.000 0.000  0.06
Eu 0.250 0.250 0.250  6.70

VASP calculation (PBE-GGA) on a relaxed EuInCuHg crystal.

Calculated values
Formation energy = -0.94 eV/f.u.
VASP energy = -4.59 eV per atom
DOS(E_F) = 11.14 states/eV per cell
SG = F-43m, No. 216

Cell lengths 5.076, 5.076, 5.076 Å; angles 60.00, 60.00, 60.00 degrees
Each line ends with the local moment (μB).
Element x y z (fractional)
Hg 0.500 0.500 0.500  0.00
Eu 0.750 0.750 0.750  6.78
In 0.250 0.250 0.250  -0.01
Cu 0.000 0.000 0.000  0.00

VASP calculation (PBE-GGA) on a relaxed LaEuCuHg crystal.

Calculated values
Formation energy = -1.15 eV/f.u.
VASP energy = -5.19 eV per atom
DOS(E_F) = 7.56 states/eV per cell
SG = F-43m, No. 216

Cell lengths 5.365, 5.365, 5.365 Å; angles 60.00, 60.00, 60.00 degrees
Each line ends with the local moment (μB).
Element x y z (fractional)
La 0.250 0.250 0.250  0.06
Eu 0.750 0.750 0.750  6.85
Hg 0.000 0.000 0.000  0.02
Cu 0.500 0.500 0.500  0.01

VASP calculation (PBE-GGA) on a relaxed EuLuCuHg crystal.

Calculated values
Formation energy = -1.05 eV/f.u.
VASP energy = -5.06 eV per atom
DOS(E_F) = 4.35 states/eV per cell
SG = F-43m, No. 216

Cell lengths 5.164, 5.164, 5.164 Å; angles 60.00, 60.00, 60.00 degrees
Each line ends with the local moment (μB).
Element x y z (fractional)
Cu 0.250 0.250 0.250  0.01
Eu 0.000 0.000 0.000  6.80
Lu 0.500 0.500 0.500  0.06
Hg 0.750 0.750 0.750  0.02

VASP calculation (PBE-GGA) on a relaxed EuMgCuHg crystal.

Calculated values
Formation energy = -0.80 eV/f.u.
VASP energy = -4.27 eV per atom
DOS(E_F) = 9.30 states/eV per cell
SG = F-43m, No. 216

Cell lengths 5.069, 5.069, 5.069 Å; angles 60.00, 60.00, 60.00 degrees
Each line ends with the local moment (μB).
Element x y z (fractional)
Hg 0.500 0.500 0.500  0.04
Eu 0.750 0.750 0.750  6.82
Cu 0.000 0.000 0.000  0.01
Mg 0.250 0.250 0.250  0.00

VASP calculation (PBE-GGA) on a relaxed NdEuCuHg crystal.

Calculated values
Formation energy = -1.08 eV/f.u.
VASP energy = -5.13 eV per atom
DOS(E_F) = 7.92 states/eV per cell
SG = F-43m, No. 216

Cell lengths 5.309, 5.309, 5.309 Å; angles 60.00, 60.00, 60.00 degrees
Each line ends with the local moment (μB).
Element x y z (fractional)
Hg 0.750 0.750 0.750  0.02
Eu 0.000 0.000 0.000  6.83
Cu 0.250 0.250 0.250  0.01
Nd 0.500 0.500 0.500  0.04

VASP calculation (PBE-GGA) on a relaxed EuCuHgPb crystal.

Calculated values
Formation energy = -0.77 eV/f.u.
VASP energy = -4.79 eV per atom
DOS(E_F) = 7.87 states/eV per cell
SG = F-43m, No. 216

Cell lengths 5.185, 5.185, 5.185 Å; angles 60.00, 60.00, 60.00 degrees
Each line ends with the local moment (μB).
Element x y z (fractional)
Hg 0.750 0.750 0.750  0.00
Cu 0.250 0.250 0.250  -0.02
Pb 0.000 0.000 0.000  -0.02
Eu 0.500 0.500 0.500  6.81

VASP calculation (PBE-GGA) on a relaxed EuCuHgPd crystal.

Calculated values
Formation energy = -1.04 eV/f.u.
VASP energy = -5.23 eV per atom
DOS(E_F) = 12.68 states/eV per cell
SG = F-43m, No. 216

Cell lengths 4.881, 4.881, 4.881 Å; angles 60.00, 60.00, 60.00 degrees
Each line ends with the local moment (μB).
Element x y z (fractional)
Cu 0.250 0.250 0.250  0.00
Pd 0.750 0.750 0.750  -0.03
Hg 0.000 0.000 0.000  0.00
Eu 0.500 0.500 0.500  6.72

VASP calculation (PBE-GGA) on a relaxed PmEuCuHg crystal.

Calculated values
Formation energy = -1.09 eV/f.u.
VASP energy = -5.13 eV per atom
DOS(E_F) = 7.90 states/eV per cell
SG = F-43m, No. 216

Cell lengths 5.288, 5.288, 5.288 Å; angles 60.00, 60.00, 60.00 degrees
Each line ends with the local moment (μB).
Element x y z (fractional)
Cu 0.000 0.000 0.000  0.01
Pm 0.750 0.750 0.750  0.05
Eu 0.250 0.250 0.250  6.83
Hg 0.500 0.500 0.500  0.02

VASP calculation (PBE-GGA) on a relaxed PrEuCuHg crystal.

Calculated values
Formation energy = -1.07 eV/f.u.
VASP energy = -5.13 eV per atom
DOS(E_F) = 7.63 states/eV per cell
SG = F-43m, No. 216

Cell lengths 5.331, 5.331, 5.331 Å; angles 60.00, 60.00, 60.00 degrees
Each line ends with the local moment (μB).
Element x y z (fractional)
Cu 0.250 0.250 0.250  0.01
Pr 0.500 0.500 0.500  0.04
Eu 0.000 0.000 0.000  6.84
Hg 0.750 0.750 0.750  0.02

VASP calculation (PBE-GGA) on a relaxed EuPuCuHg crystal.

Calculated values
Formation energy = -0.18 eV/f.u.
VASP energy = -7.30 eV per atom
DOS(E_F) = 18.72 states/eV per cell
SG = F-43m, No. 216

Cell lengths 5.261, 5.261, 5.261 Å; angles 60.00, 60.00, 60.00 degrees
Each line ends with the local moment (μB).
Element x y z (fractional)
Hg 0.750 0.750 0.750  -0.02
Cu 0.250 0.250 0.250  0.00
Pu 0.000 0.000 0.000  -5.41
Eu 0.500 0.500 0.500  6.77

Magnetization for the records above, in order: 26.050; 13.011; 7.218; 6.806; 7.829; 7.223; 7.039; 14.048; 7.042; 6.917; 6.992; 7.305; 7.157; 7.263; 7.216; 6.961; 6.885; 7.191; 7.246; 1.244 μB per cell